No. 1
A relaxed CsLiH2 crystal, computed with PBE-GGA.

a b c (Å): 6.076 6.076 5.913
angles (deg): 59.08 59.08 90.00
Fractional coordinates of all 8 atoms:
Cs 0.000 0.000 0.000
Cs 0.750 0.250 0.500
H 0.449 0.125 0.250
H 0.301 0.625 0.250
H 0.375 0.551 0.750
H 0.875 0.699 0.750
Li 0.500 0.500 0.000
Li 0.250 0.750 0.500

Results
Size of the total moment (μB per atom): 0.0000
Total DFT energy (no corrections) (eV/atom): -2.618

=====

No. 2
A relaxed CsLiH2 crystal, computed with PBE-GGA.

a b c (Å): 3.689 3.689 6.751
angles (deg): 74.14 74.14 60.00
Fractional coordinates of all 4 atoms:
Cs 0.500 0.500 0.500
H 0.725 0.725 0.826
H 0.275 0.275 0.174
Li 0.000 0.000 0.000

Results
Size of the total moment (μB per atom): 0.0000
Total DFT energy (no corrections) (eV/atom): -2.402

=====

No. 3
A relaxed CsLiH2 crystal, computed with PBE-GGA.

a b c (Å): 4.938 4.938 4.938
angles (deg): 60.00 60.00 60.00
Fractional coordinates of all 4 atoms:
Cs 0.500 0.500 0.500
H 0.250 0.250 0.250
H 0.750 0.750 0.750
Li 0.000 0.000 0.000

Results
Size of the total moment (μB per atom): 0.0000
Total DFT energy (no corrections) (eV/atom): -2.153

=====

- Which value of size of the total moment does entry 1 give?
  0.0000 μB per atom

=====

- Which formula does entry 1 have?
  CsLiH2

=====

Please write out number 3 again, unchanged.
A relaxed CsLiH2 crystal, computed with PBE-GGA.

a b c (Å): 4.938 4.938 4.938
angles (deg): 60.00 60.00 60.00
Fractional coordinates of all 4 atoms:
Cs 0.500 0.500 0.500
H 0.250 0.250 0.250
H 0.750 0.750 0.750
Li 0.000 0.000 0.000

Results
Size of the total moment (μB per atom): 0.0000
Total DFT energy (no corrections) (eV/atom): -2.153

=====

- Which of these has the lowest total DFT energy (no corrections)?
  number 1